! GGA-PBEsol CdRe3Br, relaxed; values from VASP
! Theoretical density (g cm⁻³): 13.4
! Total magnetic moment (μB per atom): 0.002
! Uncorrected energy (eV/atom): -6.3547
! Space-group type: Pm-3m (221)
&SYSTEM
  ibrav = 0, nat = 5, ntyp = 3
/
ATOMIC_SPECIES
Cd 112.41 Cd.upf
Re 186.21 Re.upf
Br 79.90 Br.upf
CELL_PARAMETERS angstrom
4.529 0.000 0.000
0.000 4.529 0.000
0.000 0.000 4.529
ATOMIC_POSITIONS crystal
Cd 0.000 0.000 0.000
Re 0.000 0.500 0.500
Re 0.500 0.000 0.500
Re 0.500 0.500 0.000
Br 0.500 0.500 0.500